A relaxed structure of Th4OsRhS2. Source: Alexandria via LeMat-Bulk, functional PBE-GGA.

Cell and atoms, written as POSCAR:
```
Th4OsRhS2
1.0
7.036 0.000 0.000
0.000 4.073 0.000
-2.346 0.000 7.136
Th Os Rh S
4 1 1 2
Cartesian
1.148 0.000 1.627
-0.031 2.036 5.506
4.721 2.036 1.630
3.542 0.000 5.508
0.000 2.036 0.000
3.518 0.000 0.000
-1.173 0.000 3.568
2.345 2.036 3.568
```

E	-8.2422	eV per atom
magnetization	0.00	Bohr magnetons per cell
density of states at the Fermi level	5.91	states/eV per cell



A relaxed structure of Nd3ZnH. Source: Alexandria via LeMat-Bulk, functional PBE-GGA.

Cell and atoms, written as POSCAR:
```
Nd3ZnH
1.0
4.939 0.000 0.000
0.000 4.939 0.000
0.000 0.000 4.939
Nd Zn H
3 1 1
Cartesian
0.000 0.000 2.469
0.000 2.469 0.000
2.469 0.000 0.000
2.469 2.469 2.469
0.000 0.000 0.000
```

E	-3.9518	eV per atom
magnetization	0.00	Bohr magnetons per cell
density of states at the Fermi level	8.18	states/eV per cell
energy above the most stable polymorph in this dataset	33	meV per atom